(1)
Compound: BeAu2Se
Source: the Alexandria database
Functional: PBE-GGA
Structure: relaxed

The structure belongs to space group Immm (No. 71); the cell edges are 3.259, 3.493 and 12.055 Å and the angles 90.00°, 90.00° and 90.00°. The inequivalent atoms are Be at (0.000, 0.000, 0.000), Au at (0.000, 0.500, 0.317) and Se at (0.000, 0.000, 0.500).

The value obtained for the energy above the most stable polymorph in this dataset is 0.1335 eV/atom. As for the energy relative to the elements, uncorrected: 0.096 eV/atom. The calculation puts the total magnetization at 0.00 μB per cell.

=====

(2)
Compound: Y2MnPt2
Source: the Alexandria database
Functional: PBE-GGA
Structure: relaxed

The structure belongs to space group P4/mbm (No. 127); the cell edges are 7.369, 7.369 and 3.972 Å and the angles 90.00°, 90.00° and 90.00°. The inequivalent atoms are Y at (0.168, 0.332, 0.000), Mn at (0.000, 0.000, 0.500) and Pt at (0.138, 0.638, 0.500).

The calculation puts the total magnetization at 8.56 μB per cell. The calculation puts the total energy at -76.61 eV per cell.

=====

| no. | density (g cm⁻³) |
| --- | --- |
| 1 | 11.66 |
| 2 | 9.59 |